Computed, not measured: crystalline LiTbH at its relaxed geometry at the GGA-PBE level of DFT.

Values from the calculation:
V ... 18.4 Å³/atom
Spin magnetization ... 0.0 μB per cell
Total DFT energy (no corrections) ... -3.38 eV per atom

Unit cell a=3.3389 b=3.3389 c=5.7089 alpha=90.00 beta=90.00 gamma=120.00
Atoms (fractional coordinates):
Li1 0.0000 0.0000 0.0000
Tb1 0.6667 0.3333 0.5166
H1 0.3333 0.6667 0.7387